[1]
# TlSi2Te2

A relaxed structure of TlSi2Te2 (PBE-GGA, Alexandria via LeMat-Bulk).

Cell lengths 5.2842, 5.2842, 10.8496 Å; angles 90.00, 90.00, 90.00 degrees
Last column: nearest neighbours and their distance in Å.
Space group I4/mmm (No. 139)
Asymmetric unit:
Tl 0.0000 0.0000 0.0000 (multiplicity 2)  2 Te 3.55, 8 Si 3.79
Si 0.0000 0.5000 0.2500 (multiplicity 4)  4 Te 2.77
Te 0.0000 0.0000 0.3271 (multiplicity 4)  4 Si 2.77

Formation energy from raw total energies, eV per atom: 0.339
Theoretical density, kg/m³: 5654
Magnetization, μB per formula unit: 0.0
Volume, Å³/f.u.: 151.47
Uncorrected energy, Ha/atom: -0.1308
DOS at the Fermi energy, states/eV/f.u.: 3.1

=====

[2]
# La3GaO

A relaxed structure of La3GaO (PBE-GGA, Alexandria via LeMat-Bulk).

Cell lengths 7.6096, 7.6096, 25.6363 Å; angles 90.00, 90.00, 120.00 degrees
Last column: nearest neighbours and their distance in Å.
Space group R-3c (No. 167, hexagonal axes)
Asymmetric unit:
La 0.0000 0.3023 0.2500 (multiplicity 18)  1 O 2.30
Ga 0.0000 0.0000 0.0000 (multiplicity 6)  6 La 3.41
O 0.0000 0.0000 0.2500 (multiplicity 6)  3 La 2.30

Formation energy from raw total energies, eV per atom: -0.961
Theoretical density, kg/m³: 3894
Magnetization, μB per formula unit: 1.9
Volume, Å³/f.u.: 214.27
Uncorrected energy, Ha/atom: -0.2026
DOS at the Fermi energy, states/eV/f.u.: 7.4

=====

[3]
# Li2MnCl

A relaxed structure of Li2MnCl (PBE-GGA, Alexandria via LeMat-Bulk).

Cell lengths 4.5274, 4.5274, 3.3238 Å; angles 90.00, 90.00, 90.00 degrees
Last column: nearest neighbours and their distance in Å.
Space group P4/mmm (No. 123)
Asymmetric unit:
Li 0.0000 0.5000 0.0000 (multiplicity 2)  4 Cl 2.81, 4 Mn 2.81
Mn 0.0000 0.0000 0.5000 (multiplicity 1)  8 Li 2.81
Cl 0.5000 0.5000 0.5000 (multiplicity 1)  8 Li 2.81

Formation energy from raw total energies, eV per atom: -0.132
Theoretical density, kg/m³: 2541
Magnetization, μB per formula unit: 4.1
Volume, Å³/f.u.: 68.13
Uncorrected energy, Ha/atom: -0.1412
DOS at the Fermi energy, states/eV/f.u.: 2.7

=====

[4]
# TlMoSe2

A relaxed structure of TlMoSe2 (PBE-GGA, Alexandria via LeMat-Bulk).

Cell lengths 3.0975, 3.0975, 9.2283 Å; angles 90.00, 90.00, 90.00 degrees
Last column: nearest neighbours and their distance in Å.
Space group P4mm (No. 99)
Asymmetric unit:
Tl 0.0000 0.0000 0.0000 (multiplicity 1)  4 Tl 3.10, 4 Mo 3.10, 4 Se 3.34
Mo 0.5000 0.5000 0.2376 (multiplicity 1)  4 Se 2.59
Se 0.0000 0.0000 0.3879 (multiplicity 1)  4 Mo 2.59
Se 0.5000 0.5000 0.7263 (multiplicity 1)  4 Se 3.10, 4 Tl 3.34

Formation energy from raw total energies, eV per atom: 0.206
Theoretical density, kg/m³: 8594
Magnetization, μB per formula unit: 0.0
Volume, Å³/f.u.: 88.54
Uncorrected energy, Ha/atom: -0.1777
DOS at the Fermi energy, states/eV/f.u.: 2.7

=====

[5]
# ZrCoNiAu

A relaxed structure of ZrCoNiAu (PBE-GGA, Alexandria via LeMat-Bulk).

Cell lengths 6.2070, 6.2070, 6.2070 Å; angles 90.00, 90.00, 90.00 degrees
Last column: nearest neighbours and their distance in Å.
Space group F-43m (No. 216)
Asymmetric unit:
Zr 0.0000 0.0000 0.0000 (multiplicity 4)  4 Co 2.69, 4 Ni 2.69
Co 0.2500 0.2500 0.7500 (multiplicity 4)  4 Zr 2.69, 4 Au 2.69
Ni 0.2500 0.2500 0.2500 (multiplicity 4)  4 Zr 2.69, 4 Au 2.69
Au 0.0000 0.0000 0.5000 (multiplicity 4)  4 Co 2.69, 4 Ni 2.69

Theoretical density, kg/m³: 11272
Magnetization, μB per formula unit: 0.0
Volume, Å³/f.u.: 59.78
Uncorrected energy, Ha/atom: -0.2365
DOS at the Fermi energy, states/eV/f.u.: 1.8
Formation energy from the elements, meV/atom: -258

=====

[6]
# Sm5AgOs2

A relaxed structure of Sm5AgOs2 (PBE-GGA, Alexandria via LeMat-Bulk).

Cell lengths 7.9354, 7.9354, 13.4451 Å; angles 90.00, 90.00, 90.00 degrees
Last column: nearest neighbours and their distance in Å.
Space group I4/mcm (No. 140)
Asymmetric unit:
Sm 0.0000 0.0000 0.0000 (multiplicity 4)  4 Os 3.06, 2 Ag 3.36
Sm 0.1569 0.3431 0.1332 (multiplicity 16)  3 Os 2.88-2.98
Ag 0.0000 0.0000 0.2500 (multiplicity 4)  10 Sm 3.36-3.38
Os 0.1422 0.3578 0.5000 (multiplicity 8)  8 Sm 2.88-3.06, 1 Os 3.19

Theoretical density, kg/m³: 9729
Magnetization, μB per formula unit: 0.0
Volume, Å³/f.u.: 211.66
Uncorrected energy, Ha/atom: -0.2320
DOS at the Fermi energy, states/eV/f.u.: 6.8
Formation energy from the elements, meV/atom: -200